Density functional theory data (PBEsol) for a relaxed structure of ZrAg4W.

theoretical density = 11.24 g cm⁻³
E_tot = -5.48 eV/atom
DOS(E_F) = 1.35 states/eV per atom
volume = 104.4 Å³/cell

Cell and atoms, written as extended XYZ:
```
6
Lattice="5.2848 0.0000 0.0000 2.6424 4.5768 0.0000 2.6424 1.5256 4.3150" Properties=species:S:1:pos:R:3 pbc="T T T"
Ag 6.6040 2.2896 1.6190
Ag 5.2848 3.0512 3.7731
Ag 3.9657 2.2896 1.6190
Ag 5.2848 4.5744 1.6190
Zr 0.0000 0.0000 0.0000
W 7.9272 4.5768 3.2363
```